1.
Material: LiScGe
Method: DFT, PBE
State: optimized geometry

## Properties
Energy of formation from the pure elements = -0.456 eV/atom
DOS(E_F) = 2.6 states/eV/cell
V = 18.75 A^3/atom
Size of the total moment = 0.00 μB/f.u.
VASP energy = -28.46 eV/cell
Space-group type = C2/m, No. 12

Unit cell a=5.3614 b=5.3614 c=6.8552 alpha=122.40 beta=122.40 gamma=44.45
With the nearest neighbours (Å) after each atom.
Positions (direct):
Li: 0.1795 0.1795 0.0803  3 Ge 2.53-2.64
Li: 0.8205 0.8205 0.9197  3 Ge 2.53-2.64
Sc: 0.4327 0.4327 0.6668  5 Ge 2.78-2.98
Sc: 0.5673 0.5673 0.3332  5 Ge 2.78-2.98
Ge: 0.1563 0.1563 0.6760  3 Li 2.53-2.64, 1 Ge 2.60, 3 Sc 2.78-2.83
Ge: 0.8437 0.8437 0.3240  3 Li 2.53-2.64, 1 Ge 2.60, 3 Sc 2.78-2.83

=====

2.
Material: HfScHg2
Method: DFT, PBE
State: optimized geometry

## Properties
Energy of formation from the pure elements = -0.200 eV/atom
DOS(E_F) = 4.2 states/eV/cell
V = 21.44 A^3/atom
Size of the total moment = 0.54 μB/f.u.
VASP energy = -17.69 eV/cell
Space-group type = P4/mmm, No. 123
Excess energy over the best structure of this formula in the dataset = 0 kJ/mol of formula units

Unit cell a=3.4656 b=3.4656 c=7.1396 alpha=90.00 beta=90.00 gamma=90.00
With the nearest neighbours (Å) after each atom.
Positions (direct):
Hf: 0.0000 0.0000 0.0000  8 Hg 3.05
Sc: 0.0000 0.0000 0.5000  8 Hg 3.02
Hg: 0.5000 0.5000 0.2538  4 Sc 3.02, 4 Hf 3.05
Hg: 0.5000 0.5000 0.7462  4 Sc 3.02, 4 Hf 3.05

=====

3.
Material: NaLi2ScC
Method: DFT, PBE
State: optimized geometry

## Properties
Energy of formation from the pure elements = 1.568 eV/atom
DOS(E_F) = 1.7 states/eV/cell
V = 18.52 A^3/atom
Size of the total moment = 0.00 μB/f.u.
VASP energy = -12.86 eV/cell
Space-group type = P4/mmm, No. 123

Unit cell a=4.0078 b=4.0078 c=5.7662 alpha=90.00 beta=90.00 gamma=90.00
With the nearest neighbours (Å) after each atom.
Positions (direct):
Na: 0.0000 0.0000 0.0000  4 Li 2.00
Li: 0.0000 0.5000 0.0000  2 Na 2.00
Li: 0.5000 0.0000 0.0000  2 Na 2.00
Sc: 0.0000 0.0000 0.5000  4 C 2.83, 2 Na 2.88
C: 0.5000 0.5000 0.5000  4 Sc 2.83

=====

4.
Material: Er4SnSb3
Method: DFT, PBE
State: optimized geometry

## Properties
Formation energy without anion corrections = -932 meV per atom
DOS(E_F) = 3.4 states/eV/cell
V = 29.22 A^3/atom
Size of the total moment = 0.00 μB/f.u.
VASP energy = -42.08 eV/cell
Space-group type = Pm-3m, No. 221

Unit cell a=6.1600 b=6.1600 c=6.1600 alpha=90.00 beta=90.00 gamma=90.00
With the nearest neighbours (Å) after each atom.
Positions (direct):
Er: 0.0000 0.0000 0.0000  6 Sb 3.08
Er: 0.0000 0.5000 0.5000  2 Sn 3.08, 4 Sb 3.08
Er: 0.5000 0.0000 0.5000  2 Sn 3.08, 4 Sb 3.08
Er: 0.5000 0.5000 0.0000  2 Sn 3.08, 4 Sb 3.08
Sn: 0.5000 0.5000 0.5000  6 Er 3.08
Sb: 0.0000 0.0000 0.5000  6 Er 3.08
Sb: 0.0000 0.5000 0.0000  6 Er 3.08
Sb: 0.5000 0.0000 0.0000  6 Er 3.08

=====

5.
Material: CsTcMo
Method: DFT, PBE
State: optimized geometry

## Properties
Energy of formation from the pure elements = 0.746 eV/atom
DOS(E_F) = 5.8 states/eV/cell
V = 29.75 A^3/atom
Size of the total moment = 0.00 μB/f.u.
VASP energy = -39.62 eV/cell
Space-group type = P1, No. 1
Excess energy over the best structure of this formula in the dataset = 12 kJ/mol of formula units

Unit cell a=3.2085 b=4.0278 c=13.8733 alpha=90.16 beta=95.36 gamma=90.00
With the nearest neighbours (Å) after each atom.
Positions (direct):
Cs: 0.0000 0.0000 0.0000  2 Cs 3.21
Cs: 0.1933 0.4934 0.3462  2 Cs 3.21
Tc: 0.3813 0.4966 0.6145  1 Tc 2.38, 4 Mo 2.66-2.67
Tc: 0.4507 0.4982 0.7870  1 Tc 2.38, 4 Mo 2.66-2.67
Mo: 0.8600 0.9961 0.5645  1 Mo 2.39, 4 Tc 2.66-2.67
Mo: 0.9299 0.9978 0.7376  1 Mo 2.39, 4 Tc 2.66-2.67

=====

6.
Material: CuP2O
Method: DFT, PBE
State: optimized geometry

## Properties
Formation energy without anion corrections = 214 meV per atom
DOS(E_F) = 3.8 states/eV/cell
V = 14.98 A^3/atom
Size of the total moment = 0.00 μB/f.u.
VASP energy = -38.04 eV/cell
Space-group type = I-42d, No. 122

Unit cell a=6.3116 b=6.3116 c=6.3116 alpha=135.96 beta=135.96 gamma=64.05
With the nearest neighbours (Å) after each atom.
Positions (direct):
Cu: 0.0000 0.0000 0.0000  4 P 2.23
Cu: 0.7500 0.2500 0.5000  4 P 2.23
P: 0.1556 0.6250 0.0306  2 O 2.07, 2 Cu 2.23
P: 0.3750 0.4056 0.5306  2 O 2.07, 2 Cu 2.23
P: 0.5944 0.1250 0.9694  2 O 2.07, 2 Cu 2.23
P: 0.8750 0.8444 0.4694  2 O 2.07, 2 Cu 2.23
O: 0.2500 0.7500 0.5000  4 P 2.07
O: 0.5000 0.5000 0.0000  4 P 2.07

=====

7.
Material: KCd2In6
Method: DFT, PBE
State: optimized geometry

## Properties
Energy of formation from the pure elements = -0.036 eV/atom
DOS(E_F) = 5.2 states/eV/cell
V = 29.88 A^3/atom
Size of the total moment = 0.00 μB/f.u.
VASP energy = -19.68 eV/cell
Space-group type = P4/mmm, No. 123

Unit cell a=5.4608 b=5.4608 c=9.0189 alpha=90.00 beta=90.00 gamma=90.00
With the nearest neighbours (Å) after each atom.
Positions (direct):
K: 0.0000 0.0000 0.0000  8 In 3.91, 8 Cd 4.10
Cd: 0.5000 0.5000 0.1540  1 Cd 2.78, 4 In 3.07
Cd: 0.5000 0.5000 0.8460  1 Cd 2.78, 4 In 3.07
In: 0.0000 0.0000 0.5000  8 In 3.22
In: 0.0000 0.5000 0.3098  2 Cd 3.07, 5 In 3.22-3.43
In: 0.0000 0.5000 0.6902  2 Cd 3.07, 5 In 3.22-3.43
In: 0.5000 0.0000 0.3098  2 Cd 3.07, 5 In 3.22-3.43
In: 0.5000 0.0000 0.6902  2 Cd 3.07, 5 In 3.22-3.43
In: 0.5000 0.5000 0.5000  2 Cd 3.12, 8 In 3.22

=====

8.
Material: CaPr6Tm8
Method: DFT, PBE
State: optimized geometry

## Properties
Energy of formation from the pure elements = 0.221 eV/atom
DOS(E_F) = 21.7 states/eV/cell
V = 35.11 A^3/atom
Size of the total moment = 0.00 μB/f.u.
VASP energy = -63.13 eV/cell
Space-group type = P-3, No. 147

Unit cell a=9.9528 b=9.9528 c=6.1399 alpha=90.00 beta=90.00 gamma=120.00
With the nearest neighbours (Å) after each atom.
Positions (direct):
Ca: 0.0000 0.0000 0.0000  6 Pr 3.93, 6 Tm 4.27
Pr: 0.1362 0.6925 0.0509  4 Tm 3.35-3.63, 3 Pr 3.47-3.64
Pr: 0.3075 0.4437 0.0509  4 Tm 3.35-3.63, 3 Pr 3.47-3.64
Pr: 0.4437 0.1362 0.9491  4 Tm 3.35-3.63, 3 Pr 3.47-3.64
Pr: 0.5563 0.8638 0.0509  4 Tm 3.35-3.63, 3 Pr 3.47-3.64
Pr: 0.6925 0.5563 0.9491  4 Tm 3.35-3.63, 3 Pr 3.47-3.64
Pr: 0.8638 0.3075 0.9491  4 Tm 3.35-3.63, 3 Pr 3.47-3.64
Tm: 0.0218 0.3411 0.4418  5 Tm 3.27-3.50, 3 Pr 3.35-3.46
Tm: 0.3193 0.9782 0.4418  5 Tm 3.27-3.50, 3 Pr 3.35-3.46
Tm: 0.3333 0.6667 0.5691  6 Tm 3.27-3.50, 3 Pr 3.63
Tm: 0.3411 0.3193 0.5582  5 Tm 3.27-3.50, 3 Pr 3.35-3.46
Tm: 0.6589 0.6807 0.4418  5 Tm 3.27-3.50, 3 Pr 3.35-3.46
Tm: 0.6667 0.3333 0.4309  6 Tm 3.27-3.50, 3 Pr 3.63
Tm: 0.6807 0.0218 0.5582  5 Tm 3.27-3.50, 3 Pr 3.35-3.46
Tm: 0.9782 0.6589 0.5582  5 Tm 3.27-3.50, 3 Pr 3.35-3.46

=====

9.
Material: BaNa2AuC
Method: DFT, PBE
State: optimized geometry

## Properties
Energy of formation from the pure elements = 0.396 eV/atom
DOS(E_F) = 1.4 states/eV/cell
V = 26.66 A^3/atom
Size of the total moment = 0.00 μB/f.u.
VASP energy = -15.08 eV/cell
Space-group type = P4/mmm, No. 123

Unit cell a=5.0436 b=5.0436 c=5.2395 alpha=90.00 beta=90.00 gamma=90.00
With the nearest neighbours (Å) after each atom.
Positions (direct):
Ba: 0.0000 0.0000 0.0000  2 C 2.62
Na: 0.0000 0.5000 0.5000  2 C 2.52
Na: 0.5000 0.0000 0.5000  2 C 2.52
Au: 0.5000 0.5000 0.0000  4 Ba 3.57, 8 Na 3.64
C: 0.0000 0.0000 0.5000  4 Na 2.52, 2 Ba 2.62

=====

10.
Material: BeAlH3
Method: DFT, PBE
State: optimized geometry

## Properties
DOS(E_F) = 0.8 states/eV/cell
V = 7.37 A^3/atom
Size of the total moment = 0.00 μB/f.u.
VASP energy = -15.36 eV/cell
Space-group type = Pm-3m, No. 221
Excess energy over the best structure of this formula in the dataset = 113 kJ/mol of formula units

Unit cell a=3.3278 b=3.3278 c=3.3278 alpha=90.00 beta=90.00 gamma=90.00
With the nearest neighbours (Å) after each atom.
Positions (direct):
Be: 0.0000 0.0000 0.0000  6 H 1.66
Al: 0.5000 0.5000 0.5000  12 H 2.35
H: 0.0000 0.0000 0.5000  2 Be 1.66
H: 0.0000 0.5000 0.0000  2 Be 1.66
H: 0.5000 0.0000 0.0000  2 Be 1.66

=====

11.
Material: Er3Mg2Rh3
Method: DFT, PBE
State: optimized geometry

## Properties
Energy of formation from the pure elements = -0.703 eV/atom
DOS(E_F) = 8.5 states/eV/cell
V = 20.53 A^3/atom
Size of the total moment = 0.00 μB/f.u.
VASP energy = -89.12 eV/cell
Space-group type = P6_3/mcm, No. 193
Excess energy over the best structure of this formula in the dataset = 0 kJ/mol of formula units

Unit cell a=8.1371 b=8.1371 c=5.7290 alpha=90.00 beta=90.00 gamma=120.00
With the nearest neighbours (Å) after each atom.
Positions (direct):
Er: 0.0000 0.2699 0.2500  5 Rh 2.78-3.02
Er: 0.0000 0.7301 0.7500  5 Rh 2.78-3.02
Er: 0.2699 0.0000 0.2500  5 Rh 2.78-3.02
Er: 0.2699 0.2699 0.7500  5 Rh 2.78-3.02
Er: 0.7301 0.0000 0.7500  5 Rh 2.78-3.02
Er: 0.7301 0.7301 0.2500  5 Rh 2.78-3.02
Mg: 0.3333 0.6667 0.0000  2 Mg 2.86, 6 Rh 2.90
Mg: 0.3333 0.6667 0.5000  2 Mg 2.86, 6 Rh 2.90
Mg: 0.6667 0.3333 0.0000  2 Mg 2.86, 6 Rh 2.90
Mg: 0.6667 0.3333 0.5000  2 Mg 2.86, 6 Rh 2.90
Rh: 0.0000 0.3887 0.7500  5 Er 2.78-3.02, 4 Mg 2.90
Rh: 0.0000 0.6113 0.2500  5 Er 2.78-3.02, 4 Mg 2.90
Rh: 0.3887 0.0000 0.7500  5 Er 2.78-3.02, 4 Mg 2.90
Rh: 0.3887 0.3887 0.2500  5 Er 2.78-3.02, 4 Mg 2.90
Rh: 0.6113 0.0000 0.2500  5 Er 2.78-3.02, 4 Mg 2.90
Rh: 0.6113 0.6113 0.7500  5 Er 2.78-3.02, 4 Mg 2.90

=====

12.
Material: ZrCuSb2I
Method: DFT, PBE
State: optimized geometry

## Properties
Formation energy without anion corrections = 549 meV per atom
DOS(E_F) = 4.8 states/eV/cell
V = 26.89 A^3/atom
Size of the total moment = 0.51 μB/f.u.
VASP energy = -19.69 eV/cell
Space-group type = P4/mmm, No. 123
Excess energy over the best structure of this formula in the dataset = 8 kJ/mol of formula units

Unit cell a=5.0107 b=5.0107 c=5.3542 alpha=90.00 beta=90.00 gamma=90.00
With the nearest neighbours (Å) after each atom.
Positions (direct):
Zr: 0.0000 0.0000 0.0000  4 I 3.54, 8 Sb 3.67
Cu: 0.5000 0.5000 0.5000  4 Sb 2.51, 2 I 2.68
Sb: 0.0000 0.5000 0.5000  2 Cu 2.51
Sb: 0.5000 0.0000 0.5000  2 Cu 2.51
I: 0.5000 0.5000 0.0000  2 Cu 2.68